First-principles (PBE+U) data for a geometry-optimized LiHfV2O8 structure, as listed in the Alexandria database.

As for the total energy: -7.648 eV/atom. The density of states at the Fermi level comes out at 13.49 states/eV per cell. Its magnetization is 2.1 μB per cell.

The space group is I-4m2 (No. 119) and the conventional cell measures 6.9088, 6.9088 and 6.1679 Å, with angles of 90.00, 90.00 and 90.00 degrees. The distinct sites, in fractional coordinates, are Li at (0.0000, 0.0000, 0.0000), Hf at (0.0000, 0.5000, 0.7500), V at (0.0000, 0.0000, 0.5000), V at (0.0000, 0.5000, 0.2500), O at (0.0000, 0.2055, 0.6608) and O at (0.0000, 0.3118, 0.0616).